First-principles (PBE) data for a relaxed SmErBi2 crystal, as listed in Alexandria via LeMat-Bulk.

- space group = No. 160
- calculated formation energy (kJ/mol of atoms) = -73.06
- density of states at the Fermi level (states/eV per cell) = 1.6

Cell lengths 4.472, 4.472, 22.928 Å; angles 90.00, 90.00, 120.00 degrees
Fractional coordinates of all 12 atoms:
Sm 0.000 0.000 0.000
Sm 0.333 0.667 0.667
Sm 0.667 0.333 0.333
Er 0.000 0.000 0.829
Er 0.333 0.667 0.496
Er 0.667 0.333 0.163
Bi 0.000 0.000 0.415
Bi 0.000 0.000 0.580
Bi 0.333 0.667 0.082
Bi 0.333 0.667 0.247
Bi 0.667 0.333 0.749
Bi 0.667 0.333 0.914

***

First-principles (PBE) data for a relaxed Sm4ErBi2 crystal, as listed in Alexandria via LeMat-Bulk.

- space group = No. 139
- calculated formation energy (kJ/mol of atoms) = 18.80
- density of states at the Fermi level (states/eV per cell) = 12.9

Cell lengths 5.410, 5.410, 17.063 Å; angles 90.00, 90.00, 90.00 degrees
Fractional coordinates of all 14 atoms:
Sm 0.000 0.000 0.182
Sm 0.000 0.000 0.818
Sm 0.000 0.500 0.000
Sm 0.000 0.500 0.500
Sm 0.500 0.000 0.000
Sm 0.500 0.000 0.500
Sm 0.500 0.500 0.318
Sm 0.500 0.500 0.682
Er 0.000 0.000 0.000
Er 0.500 0.500 0.500
Bi 0.000 0.000 0.366
Bi 0.000 0.000 0.634
Bi 0.500 0.500 0.134
Bi 0.500 0.500 0.866

***

First-principles (PBE) data for a relaxed SmErBi crystal, as listed in Alexandria via LeMat-Bulk.

- space group = No. 12
- calculated formation energy (kJ/mol of atoms) = -48.38
- density of states at the Fermi level (states/eV per cell) = 16.9

Cell lengths 12.194, 4.208, 8.493 Å; angles 90.00, 119.27, 90.00 degrees
Fractional coordinates of all 12 atoms:
Sm 0.068 0.000 0.337
Sm 0.432 0.500 0.663
Sm 0.568 0.500 0.337
Sm 0.932 0.000 0.663
Er 0.150 0.500 0.053
Er 0.350 0.000 0.947
Er 0.650 0.000 0.053
Er 0.850 0.500 0.947
Bi 0.159 0.500 0.682
Bi 0.341 0.000 0.318
Bi 0.659 0.000 0.682
Bi 0.841 0.500 0.318

***

First-principles (PBE) data for a relaxed SmEr4Bi5 crystal, as listed in Alexandria via LeMat-Bulk.

- space group = No. 71
- calculated formation energy (kJ/mol of atoms) = -80.38
- density of states at the Fermi level (states/eV per cell) = 2.0

Cell lengths 11.823, 11.823, 11.823 Å; angles 158.21, 148.99, 38.22 degrees
Fractional coordinates of all 10 atoms:
Sm 0.000 0.000 0.000
Er 0.201 0.201 0.000
Er 0.400 0.400 0.000
Er 0.600 0.600 0.000
Er 0.799 0.799 0.000
Bi 0.103 0.603 0.500
Bi 0.301 0.801 0.500
Bi 0.500 0.000 0.500
Bi 0.699 0.199 0.500
Bi 0.897 0.397 0.500

***

First-principles (PBE) data for a relaxed SmErBi crystal, as listed in Alexandria via LeMat-Bulk.

- space group = No. 156
- calculated formation energy (kJ/mol of atoms) = -26.25
- density of states at the Fermi level (states/eV per cell) = 3.5

Cell lengths 5.205, 5.205, 4.044 Å; angles 90.00, 90.00, 120.00 degrees
Fractional coordinates of all 3 atoms:
Sm 0.000 0.000 0.000
Er 0.667 0.333 0.469
Bi 0.333 0.667 0.644

***

First-principles (PBE) data for a relaxed SmEr5Bi4 crystal, as listed in Alexandria via LeMat-Bulk.

- space group = No. 12
- calculated formation energy (kJ/mol of atoms) = -52.18
- density of states at the Fermi level (states/eV per cell) = 7.7

Cell lengths 10.167, 10.167, 7.690 Å; angles 101.26, 101.26, 24.97 degrees
Fractional coordinates of all 10 atoms:
Sm 0.000 0.000 0.000
Er 0.000 0.000 0.500
Er 0.303 0.303 0.388
Er 0.311 0.311 0.914
Er 0.689 0.689 0.086
Er 0.697 0.697 0.612
Bi 0.136 0.136 0.327
Bi 0.436 0.436 0.225
Bi 0.564 0.564 0.775
Bi 0.864 0.864 0.673

***

First-principles (PBE) data for a relaxed Tb3Sm2ErBi6 crystal, as listed in Alexandria via LeMat-Bulk.

- space group = No. 12
- calculated formation energy (kJ/mol of atoms) = -85.12
- density of states at the Fermi level (states/eV per cell) = 2.0

Cell lengths 10.074, 10.074, 9.015 Å; angles 102.87, 102.87, 25.85 degrees
Fractional coordinates of all 12 atoms:
Tb 0.000 0.000 0.000
Tb 0.332 0.332 0.666
Tb 0.668 0.668 0.334
Sm 0.334 0.334 0.167
Sm 0.666 0.666 0.833
Er 0.000 0.000 0.500
Bi 0.165 0.165 0.579
Bi 0.166 0.166 0.086
Bi 0.498 0.498 0.747
Bi 0.502 0.502 0.253
Bi 0.834 0.834 0.914
Bi 0.835 0.835 0.421

***

First-principles (PBE) data for a relaxed TbSm2ErBi5 crystal, as listed in Alexandria via LeMat-Bulk.

- space group = No. 123
- calculated formation energy (kJ/mol of atoms) = -4.09
- density of states at the Fermi level (states/eV per cell) = 5.8

Cell lengths 5.447, 5.447, 11.851 Å; angles 90.00, 90.00, 90.00 degrees
Fractional coordinates of all 9 atoms:
Tb 0.000 0.000 0.000
Sm 0.500 0.500 0.226
Sm 0.500 0.500 0.774
Er 0.000 0.000 0.500
Bi 0.000 0.000 0.255
Bi 0.000 0.000 0.745
Bi 0.000 0.500 0.000
Bi 0.500 0.000 0.000
Bi 0.500 0.500 0.500

***

First-principles (PBE) data for a relaxed Tb2SmEr3Bi6 crystal, as listed in Alexandria via LeMat-Bulk.

- space group = No. 12
- calculated formation energy (kJ/mol of atoms) = -82.29
- density of states at the Fermi level (states/eV per cell) = 2.0

Cell lengths 10.016, 10.016, 8.961 Å; angles 102.83, 102.83, 25.85 degrees
Fractional coordinates of all 12 atoms:
Tb 0.167 0.167 0.333
Tb 0.833 0.833 0.667
Sm 0.500 0.500 0.000
Er 0.166 0.166 0.833
Er 0.500 0.500 0.500
Er 0.834 0.834 0.167
Bi 0.000 0.000 0.255
Bi 0.000 0.000 0.745
Bi 0.331 0.331 0.918
Bi 0.334 0.334 0.415
Bi 0.666 0.666 0.585
Bi 0.669 0.669 0.082

***

First-principles (PBE) data for a relaxed TbSmEr2Bi4 crystal, as listed in Alexandria via LeMat-Bulk.

- space group = No. 10
- calculated formation energy (kJ/mol of atoms) = -82.57
- density of states at the Fermi level (states/eV per cell) = 1.2

Cell lengths 7.768, 4.490, 7.771 Å; angles 90.00, 109.48, 90.00 degrees
Fractional coordinates of all 8 atoms:
Tb 0.000 0.000 0.000
Sm 0.000 0.500 0.500
Er 0.500 0.000 0.500
Er 0.500 0.500 0.000
Bi 0.255 0.500 0.250
Bi 0.256 0.000 0.754
Bi 0.744 0.000 0.246
Bi 0.745 0.500 0.750

***

First-principles (PBE) data for a relaxed Tb2Sm3ErBi6 crystal, as listed in Alexandria via LeMat-Bulk.

- space group = No. 12
- calculated formation energy (kJ/mol of atoms) = -85.94
- density of states at the Fermi level (states/eV per cell) = 2.0

Cell lengths 10.098, 10.098, 9.034 Å; angles 102.84, 102.84, 25.86 degrees
Fractional coordinates of all 12 atoms:
Tb 0.166 0.166 0.333
Tb 0.834 0.834 0.667
Sm 0.167 0.167 0.834
Sm 0.500 0.500 0.500
Sm 0.833 0.833 0.166
Er 0.500 0.500 0.000
Bi 0.001 0.001 0.245
Bi 0.332 0.332 0.419
Bi 0.335 0.335 0.915
Bi 0.665 0.665 0.085
Bi 0.668 0.668 0.581
Bi 0.999 0.999 0.755

***

First-principles (PBE) data for a relaxed TbSm2Er3Bi6 crystal, as listed in Alexandria via LeMat-Bulk.

- space group = No. 12
- calculated formation energy (kJ/mol of atoms) = -82.99
- density of states at the Fermi level (states/eV per cell) = 2.0

Cell lengths 10.039, 10.039, 8.981 Å; angles 102.83, 102.83, 25.86 degrees
Fractional coordinates of all 12 atoms:
Tb 0.000 0.000 0.000
Sm 0.334 0.334 0.667
Sm 0.666 0.666 0.333
Er 0.000 0.000 0.500
Er 0.333 0.333 0.166
Er 0.667 0.667 0.834
Bi 0.165 0.165 0.588
Bi 0.167 0.167 0.078
Bi 0.498 0.498 0.251
Bi 0.502 0.502 0.749
Bi 0.833 0.833 0.922
Bi 0.835 0.835 0.412

***

First-principles (PBE) data for a relaxed TbSm3Er2Bi6 crystal, as listed in Alexandria via LeMat-Bulk.

- space group = No. 12
- calculated formation energy (kJ/mol of atoms) = -84.82
- density of states at the Fermi level (states/eV per cell) = 2.0

Cell lengths 10.081, 10.081, 9.018 Å; angles 102.83, 102.83, 25.86 degrees
Fractional coordinates of all 12 atoms:
Tb 0.000 0.000 0.000
Sm 0.000 0.000 0.500
Sm 0.334 0.334 0.167
Sm 0.666 0.666 0.833
Er 0.333 0.333 0.667
Er 0.667 0.667 0.333
Bi 0.166 0.166 0.088
Bi 0.168 0.168 0.579
Bi 0.498 0.498 0.752
Bi 0.502 0.502 0.248
Bi 0.832 0.832 0.421
Bi 0.834 0.834 0.912

***

First-principles (PBE) data for a relaxed SmErBiTe crystal, as listed in Alexandria via LeMat-Bulk.

- space group = No. 99
- formation energy (no corrections) (kJ per mole of atoms) = -104.9
- density of states at the Fermi level (states/eV per cell) = 1.6

Cell lengths 4.451, 4.451, 6.273 Å; angles 90.00, 90.00, 90.00 degrees
Fractional coordinates of all 4 atoms:
Sm 0.000 0.000 0.000
Er 0.500 0.500 0.499
Bi 0.500 0.500 0.999
Te 0.000 0.000 0.500

***

First-principles (PBE) data for a relaxed Sm2ErThBi4 crystal, as listed in Alexandria via LeMat-Bulk.

- space group = No. 10
- calculated formation energy (kJ/mol of atoms) = -78.82
- density of states at the Fermi level (states/eV per cell) = 1.8

Cell lengths 7.853, 4.551, 7.875 Å; angles 90.00, 109.49, 90.00 degrees
Fractional coordinates of all 8 atoms:
Sm 0.000 0.000 0.000
Sm 0.500 0.500 0.000
Er 0.000 0.500 0.500
Th 0.500 0.000 0.500
Bi 0.244 0.000 0.745
Bi 0.245 0.500 0.250
Bi 0.755 0.500 0.750
Bi 0.756 0.000 0.255

***

First-principles (PBE) data for a relaxed Sm3ErTh2Bi6 crystal, as listed in Alexandria via LeMat-Bulk.

- space group = No. 12
- calculated formation energy (kJ/mol of atoms) = -76.44
- density of states at the Fermi level (states/eV per cell) = 5.0

Cell lengths 10.189, 10.189, 9.104 Å; angles 103.00, 103.00, 25.87 degrees
Fractional coordinates of all 12 atoms:
Sm 0.000 0.000 0.000
Sm 0.332 0.332 0.666
Sm 0.668 0.668 0.334
Er 0.000 0.000 0.500
Th 0.335 0.335 0.169
Th 0.665 0.665 0.831
Bi 0.164 0.164 0.580
Bi 0.166 0.166 0.085
Bi 0.498 0.498 0.744
Bi 0.502 0.502 0.256
Bi 0.834 0.834 0.915
Bi 0.836 0.836 0.420

***

First-principles (PBE) data for a relaxed SmEr3Th2Bi6 crystal, as listed in Alexandria via LeMat-Bulk.

- space group = No. 12
- calculated formation energy (kJ/mol of atoms) = -72.45
- density of states at the Fermi level (states/eV per cell) = 4.9

Cell lengths 10.087, 10.087, 9.016 Å; angles 102.68, 102.68, 25.93 degrees
Fractional coordinates of all 12 atoms:
Sm 0.000 0.000 0.000
Er 0.000 0.000 0.500
Er 0.334 0.334 0.166
Er 0.666 0.666 0.834
Th 0.335 0.335 0.669
Th 0.665 0.665 0.331
Bi 0.165 0.165 0.590
Bi 0.168 0.168 0.076
Bi 0.497 0.497 0.254
Bi 0.503 0.503 0.746
Bi 0.832 0.832 0.924
Bi 0.835 0.835 0.410

***

First-principles (PBE) data for a relaxed SmErTh2Bi4 crystal, as listed in Alexandria via LeMat-Bulk.

- space group = No. 10
- calculated formation energy (kJ/mol of atoms) = -68.95
- density of states at the Fermi level (states/eV per cell) = 4.6

Cell lengths 7.853, 4.562, 7.898 Å; angles 90.00, 109.67, 90.00 degrees
Fractional coordinates of all 8 atoms:
Sm 0.000 0.000 0.000
Er 0.000 0.500 0.500
Th 0.500 0.000 0.500
Th 0.500 0.500 0.000
Bi 0.241 0.000 0.744
Bi 0.244 0.500 0.251
Bi 0.756 0.500 0.749
Bi 0.759 0.000 0.256

***

First-principles (PBE) data for a relaxed SmErTh2Bi5 crystal, as listed in Alexandria via LeMat-Bulk.

- space group = No. 123
- calculated formation energy (kJ/mol of atoms) = 12.27
- density of states at the Fermi level (states/eV per cell) = 5.5

Cell lengths 5.496, 5.496, 11.714 Å; angles 90.00, 90.00, 90.00 degrees
Fractional coordinates of all 9 atoms:
Sm 0.000 0.000 0.000
Er 0.000 0.000 0.500
Th 0.500 0.500 0.200
Th 0.500 0.500 0.800
Bi 0.000 0.000 0.255
Bi 0.000 0.000 0.745
Bi 0.000 0.500 0.000
Bi 0.500 0.000 0.000
Bi 0.500 0.500 0.500

***

First-principles (PBE) data for a relaxed SmEr2TmBi4 crystal, as listed in Alexandria via LeMat-Bulk.

- space group = No. 10
- calculated formation energy (kJ/mol of atoms) = -80.02
- density of states at the Fermi level (states/eV per cell) = 1.2

Cell lengths 7.744, 4.476, 7.745 Å; angles 90.00, 109.48, 90.00 degrees
Fractional coordinates of all 8 atoms:
Sm 0.000 0.000 0.000
Er 0.000 0.500 0.500
Er 0.500 0.000 0.500
Tm 0.500 0.500 0.000
Bi 0.253 0.000 0.748
Bi 0.256 0.500 0.255
Bi 0.744 0.500 0.745
Bi 0.747 0.000 0.252

***

First-principles (PBE) data for a relaxed SmErTm2Bi4 crystal, as listed in Alexandria via LeMat-Bulk.

- space group = No. 10
- calculated formation energy (kJ/mol of atoms) = -79.32
- density of states at the Fermi level (states/eV per cell) = 1.2

Cell lengths 7.738, 4.473, 7.739 Å; angles 90.00, 109.49, 90.00 degrees
Fractional coordinates of all 8 atoms:
Sm 0.000 0.000 0.000
Er 0.000 0.500 0.500
Tm 0.500 0.000 0.500
Tm 0.500 0.500 0.000
Bi 0.254 0.000 0.748
Bi 0.256 0.500 0.256
Bi 0.744 0.500 0.744
Bi 0.746 0.000 0.252

***

First-principles (PBE) data for a relaxed Sm3Er2TmBi6 crystal, as listed in Alexandria via LeMat-Bulk.

- space group = No. 12
- calculated formation energy (kJ/mol of atoms) = -83.23
- density of states at the Fermi level (states/eV per cell) = 2.0

Cell lengths 10.059, 10.059, 8.999 Å; angles 102.80, 102.80, 25.86 degrees
Fractional coordinates of all 12 atoms:
Sm 0.000 0.000 0.000
Sm 0.333 0.333 0.667
Sm 0.667 0.667 0.333
Er 0.333 0.333 0.167
Er 0.667 0.667 0.833
Tm 0.000 0.000 0.500
Bi 0.165 0.165 0.587
Bi 0.168 0.168 0.079
Bi 0.498 0.498 0.255
Bi 0.502 0.502 0.745
Bi 0.832 0.832 0.921
Bi 0.835 0.835 0.413

***

First-principles (PBE) data for a relaxed Sm2Er3TmBi6 crystal, as listed in Alexandria via LeMat-Bulk.

- space group = No. 12
- calculated formation energy (kJ/mol of atoms) = -81.28
- density of states at the Fermi level (states/eV per cell) = 2.0

Cell lengths 10.019, 10.019, 8.963 Å; angles 102.87, 102.87, 25.85 degrees
Fractional coordinates of all 12 atoms:
Sm 0.166 0.166 0.333
Sm 0.834 0.834 0.667
Er 0.168 0.168 0.834
Er 0.500 0.500 0.500
Er 0.832 0.832 0.166
Tm 0.500 0.500 0.000
Bi 0.003 0.003 0.752
Bi 0.334 0.334 0.923
Bi 0.335 0.335 0.413
Bi 0.665 0.665 0.587
Bi 0.666 0.666 0.077
Bi 0.997 0.997 0.248